Computed, not measured: crystalline Cr2TcTe at its relaxed geometry at the GGA-PBE level of DFT.

a b c (Å): 8.238 8.238 8.238
angles (deg): 21.11 21.11 21.11
Site moments in Bohr magnetons follow the coordinates.
Fractional positions:
1 Cr 0.989 0.989 0.989  1.91
2 Cr 0.253 0.253 0.253  -0.98
3 Tc 0.508 0.508 0.508  0.23
4 Te 0.750 0.750 0.750  -0.01

Output
- crystal system = trigonal
- formation energy (no corrections) (meV/atom) = 564
- space-group type = No. 160